A plane-wave DFT calculation with PBE was carried out for LiNpCdCl6 after structural relaxation.

Results
For the raw total energy, the calculation gives -4.46 eV/atom. As for the magnetic moment: 8.0 Bohr magnetons per cell. The uncorrected formation energy is -1.478 eV/atom.

```
LiNpCdCl6
1.0
-2.2666 1.3835 -6.1304
-3.0406 -4.6452 3.7162
-7.2380 8.3942 4.5704
Li Np Cd Cl
2 2 2 12
Cartesian
-4.5921 -0.5371 1.5766 Li
-7.9531 5.6696 0.5796 Li
-4.3341 1.4725 -1.7056 Np
-8.2111 3.6600 3.8618 Np
0.0000 0.0000 0.0000 Cd
-3.6190 4.1971 2.2852 Cd
-4.4462 -1.1512 -0.9604 Cl
-1.9846 -0.5116 1.7633 Cl
-5.3494 5.6650 0.8154 Cl
-10.5606 5.6441 0.3930 Cl
-4.4907 2.0033 0.9674 Cl
-4.7797 0.0375 4.1201 Cl
-7.8895 8.2006 -0.0722 Cl
-7.1958 -0.5325 1.3408 Cl
-7.7655 5.0950 -1.9639 Cl
-4.6557 -3.0681 2.2284 Cl
-8.0545 3.1292 1.1888 Cl
-8.0990 6.2837 3.1166 Cl
```